one | # BaGa3Cu3

A relaxed structure of BaGa3Cu3 (PBE, Alexandria via LeMat-Bulk).

Summary:
crystal system: cubic

extended XYZ file:
```
14
Lattice="6.7924 0.0000 0.0000 0.0000 6.7924 0.0000 0.0000 0.0000 6.7924" Properties=species:S:1:pos:R:3 pbc="T T T"
Ba 0.0000 0.0000 0.0000
Ba 3.3962 3.3962 3.3962
Ga 0.0000 1.6981 3.3962
Ga 0.0000 5.0943 3.3962
Ga 1.6981 3.3962 0.0000
Ga 3.3962 0.0000 1.6981
Ga 3.3962 0.0000 5.0943
Ga 5.0943 3.3962 0.0000
Cu 0.0000 3.3962 1.6981
Cu 0.0000 3.3962 5.0943
Cu 1.6981 0.0000 3.3962
Cu 3.3962 1.6981 0.0000
Cu 3.3962 5.0943 0.0000
Cu 5.0943 0.0000 3.3962
```

two | # BaGa3Cu3

A relaxed structure of BaGa3Cu3 (PBE, Alexandria via LeMat-Bulk).

Summary:
crystal system: trigonal

extended XYZ file:
```
14
Lattice="3.3764 1.9494 7.5951 -3.3764 1.9494 7.5951 0.0000 -3.8987 7.5951" Properties=species:S:1:pos:R:3 pbc="T T T"
Ba 0.0000 0.0000 4.0887
Ba 0.0000 0.0000 18.6966
Ga -1.5543 -0.2784 8.8436
Ga -0.5361 -1.4853 13.9416
Ga 1.0183 -1.2069 8.8436
Ga -1.0183 1.2069 13.9416
Ga 0.5361 1.4853 8.8436
Ga 1.5543 0.2784 13.9416
Cu -0.9350 -2.7219 8.6691
Cu -2.8247 -0.5512 14.1162
Cu -1.8897 2.1707 8.6691
Cu 1.8897 -2.1707 14.1162
Cu 2.8247 0.5512 8.6691
Cu 0.9351 2.7219 14.1162
```

The least stable of them is one.

one | # Ba3Ga4Cu2

A relaxed structure of Ba3Ga4Cu2 (PBE, Alexandria via LeMat-Bulk).

Summary:
crystal system: monoclinic

extended XYZ file:
```
9
Lattice="8.6738 -2.2374 0.0000 8.6738 2.2374 0.0000 -3.0396 0.0000 6.8581" Properties=species:S:1:pos:R:3 pbc="T T T"
Ba 0.0000 0.0000 0.0000
Ba 0.9637 0.0000 3.9313
Ba 13.3443 0.0000 2.9267
Ga 3.4140 0.0000 0.5691
Ga 7.3590 0.0000 2.2081
Ga 6.9490 0.0000 4.6500
Ga 10.8941 0.0000 6.2890
Cu 5.9004 0.0000 0.2830
Cu 8.4076 0.0000 6.5751
```

two | # Ba3Ga4Cu2

A relaxed structure of Ba3Ga4Cu2 (PBE, Alexandria via LeMat-Bulk).

Summary:
crystal system: trigonal

extended XYZ file:
```
18
Lattice="4.4161 0.0000 0.0000 -2.2081 3.8245 0.0000 0.0000 0.0000 29.9836" Properties=species:S:1:pos:R:3 pbc="T T T"
Ba 0.0000 0.0000 0.0000
Ba 0.0000 0.0000 4.5238
Ba 0.0000 0.0000 9.6956
Ba 0.0000 0.0000 14.6326
Ba 0.0000 0.0000 19.8591
Ba 0.0000 0.0000 24.8076
Ga 0.0000 2.5497 7.0923
Ga 0.0000 2.5497 12.1544
Ga 0.0000 2.5497 17.2444
Ga 0.0000 2.5497 22.3429
Ga 0.0000 2.5497 27.4128
Ga 2.2081 1.2748 7.0552
Ga 2.2081 1.2748 17.2444
Ga 2.2081 1.2748 27.4568
Cu 0.0000 2.5497 2.2607
Cu 2.2081 1.2748 2.2604
Cu 2.2081 1.2748 12.1628
Cu 2.2081 1.2748 22.3353
```

The least stable of them is one.

one | # Ba2GaCuH

A relaxed structure of Ba2GaCuH (PBE, Alexandria via LeMat-Bulk).

Summary:
crystal system: tetragonal

extended XYZ file:
```
5
Lattice="6.1884 0.0000 0.0000 0.0000 6.1884 0.0000 0.0000 0.0000 4.5044" Properties=species:S:1:pos:R:3 pbc="T T T"
Ba 0.0000 3.0942 0.0000
Ba 3.0942 0.0000 0.0000
Ga 0.0000 0.0000 2.2522
Cu 0.0000 0.0000 0.0000
H 3.0942 3.0942 2.2522
```

two | # Ba2GaCuH

A relaxed structure of Ba2GaCuH (PBE, Alexandria via LeMat-Bulk).

Summary:
crystal system: tetragonal

extended XYZ file:
```
5
Lattice="5.6262 0.0000 0.0000 0.0000 5.6262 0.0000 0.0000 0.0000 4.1885" Properties=species:S:1:pos:R:3 pbc="T T T"
Ba 0.0000 2.8131 0.0000
Ba 2.8131 0.0000 0.0000
Ga 0.0000 0.0000 2.0942
Cu 2.8131 2.8131 2.0942
H 0.0000 0.0000 0.0000
```

The least stable of them is one.

one | # BaLi2GaCu

A relaxed structure of BaLi2GaCu (PBE, Alexandria via LeMat-Bulk).

Summary:
crystal system: tetragonal

extended XYZ file:
```
5
Lattice="5.0499 0.0000 0.0000 0.0000 5.0499 0.0000 0.0000 0.0000 4.7065" Properties=species:S:1:pos:R:3 pbc="T T T"
Ba 0.0000 0.0000 0.0000
Li 0.0000 2.5250 2.3532
Li 2.5250 0.0000 2.3532
Ga 2.5250 2.5250 0.0000
Cu 2.5250 2.5250 2.3532
```

two | # BaLi2GaCu

A relaxed structure of BaLi2GaCu (PBE, Alexandria via LeMat-Bulk).

Summary:
crystal system: tetragonal

extended XYZ file:
```
5
Lattice="5.0355 0.0000 0.0000 0.0000 5.0355 0.0000 0.0000 0.0000 4.7888" Properties=species:S:1:pos:R:3 pbc="T T T"
Ba 0.0000 0.0000 0.0000
Li 0.0000 2.5178 2.3944
Li 2.5178 0.0000 2.3944
Ga 2.5178 2.5178 2.3944
Cu 2.5178 2.5178 0.0000
```

The least stable of them is two.

one | # BaZnGa2Cu

A relaxed structure of BaZnGa2Cu (PBE, Alexandria via LeMat-Bulk).

Summary:
crystal system: tetragonal

extended XYZ file:
```
5
Lattice="4.8977 0.0000 0.0000 0.0000 4.8977 0.0000 0.0000 0.0000 4.8677" Properties=species:S:1:pos:R:3 pbc="T T T"
Ba 0.0000 0.0000 0.0000
Zn 2.4488 2.4488 0.0000
Ga 0.0000 2.4488 2.4339
Ga 2.4488 0.0000 2.4339
Cu 2.4488 2.4488 2.4339
```

two | # BaZnGa2Cu

A relaxed structure of BaZnGa2Cu (PBE, Alexandria via LeMat-Bulk).

Summary:
crystal system: tetragonal

extended XYZ file:
```
5
Lattice="-2.2882 2.2882 5.2460 2.2882 -2.2882 5.2460 2.2882 2.2882 -5.2460" Properties=species:S:1:pos:R:3 pbc="T T T"
Ba 0.0000 0.0000 0.0000
Zn 0.0000 2.2882 2.6230
Ga 0.0000 0.0000 3.8606
Ga 0.0000 0.0000 6.6314
Cu 2.2882 0.0000 2.6230
```

The least stable of them is one.

one | # BaCu3Ge3

A relaxed structure of BaCu3Ge3 (PBE, Alexandria via LeMat-Bulk).

Summary:
crystal system: trigonal

extended XYZ file:
```
14
Lattice="3.4107 1.9691 7.6998 -3.4107 1.9691 7.6998 0.0000 -3.9383 7.6998" Properties=species:S:1:pos:R:3 pbc="T T T"
Ba 0.0000 0.0000 4.1954
Ba 0.0000 0.0000 18.9039
Cu -0.8781 -1.1911 8.7023
Cu -0.5925 1.3560 8.7023
Cu -1.4705 0.1649 14.3970
Cu 1.4705 -0.1649 8.7023
Cu 0.5925 -1.3560 14.3970
Cu 0.8781 1.1911 14.3970
Ge -0.5176 -2.3404 6.4577
Ge -1.7681 1.6185 6.4577
Ge -2.2857 -0.7220 16.6415
Ge 2.2857 0.7219 6.4577
Ge 1.7681 -1.6185 16.6415
Ge 0.5176 2.3404 16.6415
```

two | # BaCu3Ge3

A relaxed structure of BaCu3Ge3 (PBE, Alexandria via LeMat-Bulk).

Summary:
crystal system: cubic

extended XYZ file:
```
14
Lattice="6.7699 0.0000 0.0000 0.0000 6.7699 0.0000 0.0000 0.0000 6.7699" Properties=species:S:1:pos:R:3 pbc="T T T"
Ba 0.0000 0.0000 0.0000
Ba 3.3849 3.3849 3.3849
Cu 0.0000 1.6925 3.3849
Cu 0.0000 5.0774 3.3849
Cu 1.6925 3.3849 0.0000
Cu 3.3849 0.0000 1.6925
Cu 3.3849 0.0000 5.0774
Cu 5.0774 3.3849 0.0000
Ge 0.0000 3.3849 1.6925
Ge 0.0000 3.3849 5.0774
Ge 1.6925 0.0000 3.3849
Ge 3.3849 1.6925 0.0000
Ge 3.3849 5.0774 0.0000
Ge 5.0774 0.0000 3.3849
```

The least stable of them is one.